Material: ZrGaTeN2
Method: DFT, PBE
State: optimized geometry

Results
Energy above the lowest structure with this stoichiometry ... 0.617 eV/atom
Total magnetization ... 0.7 μB/f.u.
Space-group type ... P4/mmm, No. 123
ΔE_f (raw) ... 0.922 eV/atom
E ... -26.76 eV for the cell shown

a = 4.019 Å, b = 4.019 Å, c = 5.354 Å
α = 90.00°, β = 90.00°, γ = 90.00°
Sites, in units of the cell vectors:
Zr  0.000  0.000  0.000
Ga  0.500  0.500  0.500
Te  0.500  0.500  0.000
N  0.000  0.500  0.500
N  0.500  0.000  0.500